1.
Density functional theory data (SCAN) for a crystal of LiCa relaxed with PBEsol.

E above lowest polymorph, meV per atom: 0
Energy of formation, eV/atom: 0.013

Cell: 3.806 3.806 8.391 Å, 90.00 90.00 90.00°
Space group P4/nmm (No. 129, origin choice 2)
Asymmetric unit:
Li  0.250  0.250  0.079 x2
Ca  0.250  0.250  0.666 x2

2.
Density functional theory data (SCAN) for a crystal of SbTe2Pt relaxed with PBEsol.

Raw formation energy, eV/atom: -0.13

Cell: 3.801 4.804 11.449 Å, 90.00 90.00 90.00°
Space group Immm (No. 71)
Asymmetric unit:
Sb  0.000  0.000  0.000 x2
Te  0.000  0.500  0.167 x4
Pt  0.000  0.000  0.500 x2

3.
Density functional theory data (SCAN) for a crystal of MnCoSb2 relaxed with PBEsol.

E above lowest polymorph, meV per atom: 60
Raw formation energy, eV/atom: 0.13

Cell: 3.565 3.565 5.246 Å, 90.00 90.00 90.00°
Space group P4mm (No. 99)
Asymmetric unit:
Mn  0.000  0.000  0.000 x1
Co  0.500  0.500  0.656 x1
Sb  0.000  0.000  0.519 x1
Sb  0.500  0.500  0.144 x1

4.
Density functional theory data (SCAN) for a crystal of ReAsAu2 relaxed with PBEsol.

Energy of formation, eV/atom: 0.542

Cell: 5.552 8.703 2.695 Å, 90.00 90.00 90.00°
Space group Cmmm (No. 65)
Asymmetric unit:
Re  0.000  0.000  0.000 x2
As  0.000  0.500  0.000 x2
Au  0.250  0.250  0.500 x4

5.
Density functional theory data (SCAN) for a crystal of ScBeRu2 relaxed with PBEsol.

Energy of formation, eV/atom: -0.272

Cell: 8.379 2.947 4.692 Å, 90.00 110.74 90.00°
Space group C2/m (No. 12)
Asymmetric unit:
Sc  0.000  0.000  0.000 x2
Be  0.000  0.500  0.500 x2
Ru  0.223  0.000  0.707 x4

6.
Density functional theory data (SCAN) for a crystal of Cr3Fe relaxed with PBEsol.

Energy of formation, eV/atom: 0.114

Cell: 2.826 3.957 7.803 Å, 90.00 90.00 90.00°
Space group Immm (No. 71)
Asymmetric unit:
Cr  0.000  0.000  0.000 x2
Cr  0.000  0.500  0.257 x4
Fe  0.000  0.000  0.500 x2

7.
Density functional theory data (SCAN) for a crystal of ReSiB2 relaxed with PBEsol.

Raw formation energy, eV/atom: 0.70

Cell: 4.796 4.796 9.107 Å, 90.00 90.00 90.00°
Space group I-42d (No. 122)
Asymmetric unit:
Re  0.000  0.000  0.000 x4
Si  0.000  0.000  0.500 x4
B  0.250  0.250  0.125 x8

8.
Density functional theory data (SCAN) for a crystal of CuRuCl2 relaxed with PBEsol.

E above lowest polymorph, meV per atom: 0
Raw formation energy, eV/atom: 0.22

Cell: 2.955 5.300 8.667 Å, 90.00 90.00 90.00°
Space group Cmm2 (No. 35)
Asymmetric unit:
Cu  0.000  0.000  0.000 x2
Ru  0.000  0.500  0.235 x2
Cl  0.000  0.000  0.441 x2
Cl  0.000  0.500  0.808 x2

9.
Density functional theory data (SCAN) for a crystal of CdNiPb relaxed with PBEsol.

E above lowest polymorph, meV per atom: 249
Energy of formation, eV/atom: 0.336

Cell: 4.3067 4.3067 3.7841 Å, 90.00 90.00 120.00°
Space group P3m1 (No. 156)
Asymmetric unit:
Cd  0.0000  0.0000  0.0000 x1
Ni  0.3333  0.6667  0.7504 x1
Pb  0.6667  0.3333  0.4803 x1

10.
Density functional theory data (SCAN) for a crystal of CoReNi2 relaxed with PBEsol.

E above lowest polymorph, meV per atom: 65
Energy of formation, eV/atom: 0.123

Cell: 3.477 3.477 7.403 Å, 90.00 90.00 90.00°
Space group I4/mmm (No. 139)
Asymmetric unit:
Co  0.000  0.000  0.000 x2
Re  0.000  0.000  0.500 x2
Ni  0.000  0.500  0.250 x4

11.
Density functional theory data (SCAN) for a crystal of PHRhCl2 relaxed with PBEsol.

Total energy, eV per atom: -12.257

Cell: 4.902 4.902 4.330 Å, 90.00 90.00 90.00°
Space group P4/mmm (No. 123)
Asymmetric unit:
P  0.000  0.000  0.000 x1
H  0.500  0.500  0.000 x1
Rh  0.000  0.000  0.500 x1
Cl  0.000  0.500  0.500 x2

12.
Density functional theory data (SCAN) for a crystal of RbCaZn2 relaxed with PBEsol.

Energy of formation, eV/atom: 0.213

Cell: 7.745 7.745 7.745 Å, 90.00 90.00 90.00°
Space group Fm-3m (No. 225)
Asymmetric unit:
Rb  0.000  0.000  0.000 x4
Ca  0.000  0.000  0.500 x4
Zn  0.250  0.250  0.250 x8

Record order is preserved below.
M_tot: 0.1 0.0 2.0 0.0 0.0 2.0 0.0 0.0 0.0 0.0 0.9 0.0 μB/f.u.